[1]
# Pr2Nd7Dy2

A relaxed Pr2Nd7Dy2 crystal (PBE, Alexandria).

The space group is C2/m (No. 12) and the conventional cell measures 8.6084, 11.0655 and 8.4145 Å, with angles of 90.00, 104.15 and 90.00 degrees. The distinct sites, in fractional coordinates, are Pr at (0.0794, 0.0000, 0.3183), Nd at (0.0000, 0.5000, 0.5000), Nd at (0.1946, 0.5000, 0.9781), Nd at (0.1984, 0.2094, 0.6698) and Dy at (0.0000, 0.2144, 0.0000).

Its formation energy is 135 meV per atom. As for the density of states at the Fermi level: 17.64 states/eV/f.u. Its total magnetic moment is 0.0 Bohr magnetons per cell.

[2]
# LaSm2Dy2Y4

A relaxed LaSm2Dy2Y4 crystal (PBE, Alexandria).

The space group is C2/m (No. 12) and the conventional cell measures 18.8353, 3.6284 and 9.6360 Å, with angles of 90.00, 115.72 and 90.00 degrees. The distinct sites, in fractional coordinates, are La at (0.0000, 0.0000, 0.0000), Sm at (0.1678, 0.5000, 0.9994), Dy at (0.1480, 0.0000, 0.6646), Y at (0.0193, 0.5000, 0.3376) and Y at (0.1863, 0.0000, 0.3360).

Its formation energy is -3 meV per atom. As for the density of states at the Fermi level: 12.99 states/eV/f.u. Its total magnetic moment is 0.0 Bohr magnetons per cell.

[3]
# RbNa2Ni2

A relaxed RbNa2Ni2 crystal (PBE, Alexandria).

The space group is I4/mmm (No. 139) and the conventional cell measures 4.9242, 4.9242 and 11.4421 Å, with angles of 90.00, 90.00 and 90.00 degrees. The distinct sites, in fractional coordinates, are Rb at (0.0000, 0.0000, 0.0000), Na at (0.0000, 0.5000, 0.2500) and Ni at (0.0000, 0.0000, 0.4021).

Its formation energy is 623 meV per atom. As for the density of states at the Fermi level: 6.44 states/eV/f.u. Its total magnetic moment is 2.0 Bohr magnetons per cell.

[4]
# NdHg2Pd

A relaxed NdHg2Pd crystal (PBE, Alexandria).

The space group is P4/mmm (No. 123) and the conventional cell measures 4.3557, 4.3557 and 4.9664 Å, with angles of 90.00, 90.00 and 90.00 degrees. The distinct sites, in fractional coordinates, are Nd at (0.0000, 0.0000, 0.0000), Hg at (0.0000, 0.5000, 0.5000) and Pd at (0.5000, 0.5000, 0.0000).

Its formation energy is -385 meV per atom. As for the density of states at the Fermi level: 2.24 states/eV/f.u. Its total magnetic moment is 0.0 Bohr magnetons per cell.

[5]
# Sr3Ag2Hg3

A relaxed Sr3Ag2Hg3 crystal (PBE, Alexandria).

The space group is Cmcm (No. 63) and the conventional cell measures 4.8688, 11.6403 and 16.7338 Å, with angles of 90.00, 90.00 and 90.00 degrees. The distinct sites, in fractional coordinates, are Sr at (0.0000, 0.0867, 0.1033), Sr at (0.0000, 0.3626, 0.2500), Ag at (0.0000, 0.2104, 0.6053), Hg at (0.0000, 0.3521, 0.7500) and Hg at (0.0000, 0.3813, 0.0422).

Its formation energy is -422 meV per atom. As for the density of states at the Fermi level: 5.10 states/eV/f.u. Its total magnetic moment is 0.0 Bohr magnetons per cell.

[6]
# PmTm4Tl4

A relaxed PmTm4Tl4 crystal (PBE, Alexandria).

The space group is P4_2/n (No. 86, origin choice 2) and the conventional cell measures 9.5766, 9.5766 and 5.7067 Å, with angles of 90.00, 90.00 and 90.00 degrees. The distinct sites, in fractional coordinates, are Pm at (0.2500, 0.2500, 0.2500), Tm at (0.0994, 0.8310, 0.6512) and Tl at (0.0381, 0.1441, 0.8422).

Its formation energy is -141 meV per atom. As for the density of states at the Fermi level: 5.80 states/eV/f.u. Its total magnetic moment is 0.0 Bohr magnetons per cell.

[7]
# Ac12TeRu6

A relaxed Ac12TeRu6 crystal (PBE, Alexandria).

The space group is R-3 (No. 148, hexagonal axes) and the conventional cell measures 15.2133, 15.2133 and 9.4653 Å, with angles of 90.00, 90.00 and 120.00 degrees. The distinct sites, in fractional coordinates, are Ac at (0.0306, 0.8609, 0.1673), Ac at (0.0403, 0.7706, 0.5925), Te at (0.0000, 0.0000, 0.5000) and Ru at (0.0656, 0.5896, 0.5523).

As for the density of states at the Fermi level: 15.61 states/eV/f.u. The uncorrected formation energy comes out at -248 meV/atom. Its total magnetic moment is 0.0 Bohr magnetons per cell.

[8]
# CsRbZnGe

A relaxed CsRbZnGe crystal (PBE, Alexandria).

The space group is Imm2 (No. 44) and the conventional cell measures 4.5255, 6.4950 and 10.7827 Å, with angles of 90.00, 90.00 and 90.00 degrees. The distinct sites, in fractional coordinates, are Cs at (0.0000, 0.0000, 0.0000), Rb at (0.0000, 0.5000, 0.8211), Zn at (0.0000, 0.5000, 0.1898) and Ge at (0.0000, 0.0000, 0.6159).

Its formation energy is -53 meV per atom. As for the density of states at the Fermi level: 0.74 states/eV/f.u. Its total magnetic moment is 0.0 Bohr magnetons per cell.

[9]
# CaSb2P

A relaxed CaSb2P crystal (PBE, Alexandria).

The space group is Imm2 (No. 44) and the conventional cell measures 3.7356, 5.4184 and 9.8577 Å, with angles of 90.00, 90.00 and 90.00 degrees. The distinct sites, in fractional coordinates, are Ca at (0.0000, 0.0000, 0.0000), Sb at (0.0000, 0.0000, 0.4477), Sb at (0.0000, 0.5000, 0.2120) and P at (0.0000, 0.5000, 0.7504).

As for the density of states at the Fermi level: 2.22 states/eV/f.u. The uncorrected formation energy comes out at -226 meV/atom. Its total magnetic moment is 0.0 Bohr magnetons per cell.

[10]
# Ca2InCu

A relaxed Ca2InCu crystal (PBE, Alexandria).

The space group is I-4m2 (No. 119) and the conventional cell measures 5.0871, 5.0871 and 7.2323 Å, with angles of 90.00, 90.00 and 90.00 degrees. The distinct sites, in fractional coordinates, are Ca at (0.0000, 0.0000, 0.0000), Ca at (0.0000, 0.5000, 0.2500), In at (0.0000, 0.0000, 0.5000) and Cu at (0.0000, 0.5000, 0.7500).

Its formation energy is -123 meV per atom. As for the density of states at the Fermi level: 0.76 states/eV/f.u. Its total magnetic moment is 0.0 Bohr magnetons per cell.

[11]
# LaTl3Te

A relaxed LaTl3Te crystal (PBE, Alexandria).

The space group is Pm-3m (No. 221) and the conventional cell measures 6.1786, 6.1786 and 6.1786 Å, with angles of 90.00, 90.00 and 90.00 degrees. The distinct sites, in fractional coordinates, are La at (0.0000, 0.0000, 0.0000), Tl at (0.0000, 0.0000, 0.5000) and Te at (0.5000, 0.5000, 0.5000).

As for the density of states at the Fermi level: 3.19 states/eV/f.u. The uncorrected formation energy comes out at 498 meV/atom. Its total magnetic moment is 0.0 Bohr magnetons per cell.

[12]
# KOsRh4

A relaxed KOsRh4 crystal (PBE, Alexandria).

The space group is F-43m (No. 216) and the conventional cell measures 7.3818, 7.3818 and 7.3818 Å, with angles of 90.00, 90.00 and 90.00 degrees. The distinct sites, in fractional coordinates, are K at (0.0000, 0.0000, 0.0000), Os at (0.2500, 0.2500, 0.7500) and Rh at (0.1245, 0.1245, 0.3755).

Its formation energy is 863 meV per atom. As for the density of states at the Fermi level: 8.16 states/eV/f.u. Its total magnetic moment is 9.2 Bohr magnetons per cell.